GGA-PBE VAu, relaxed; space group = P2_12_12_1 (19); energy of formation = 127 meV/atom
1.0
5.241 0.000 0.000
0.000 4.660 0.000
0.000 0.000 10.660
V Au
8 8
Direct
0.087 0.407 0.031
0.587 0.093 0.969
0.413 0.593 0.531
0.181 0.939 0.651
0.681 0.561 0.349
0.819 0.439 0.849
0.913 0.907 0.469
0.319 0.061 0.151
0.325 0.429 0.781
0.407 0.080 0.409
0.093 0.920 0.909
0.907 0.420 0.591
0.825 0.071 0.219
0.175 0.571 0.281
0.593 0.580 0.091
0.675 0.929 0.719